Version i
# TaTiV

A relaxed TaTiV crystal (GGA-PBE, Alexandria via LeMat-Bulk).

Unit cell a=4.745 b=4.745 c=6.027 alpha=66.82 beta=66.82 gamma=60.00
Element x y z (fractional)
Ta1 0.133 0.133 0.600
Ta2 0.867 0.867 0.400
Ti1 0.573 0.573 0.280
Ti2 0.427 0.427 0.720
V1 0.712 0.712 0.863
V2 0.288 0.288 0.137

* N(E_F): 4.3 states/eV per cell

Version ii
# TaTiV

A relaxed TaTiV crystal (GGA-PBE, Alexandria via LeMat-Bulk).

Unit cell a=2.807 b=4.492 c=4.492 alpha=120.00 beta=90.00 gamma=90.00
Element x y z (fractional)
V1 0.309 0.667 0.333
Ti1 0.647 0.333 0.667
Ta1 0.044 0.000 0.000

* N(E_F): 5.7 states/eV per cell

Version iii
# TaTiV

A relaxed TaTiV crystal (GGA-PBE, Alexandria via LeMat-Bulk).

Unit cell a=3.785 b=3.785 c=7.110 alpha=90.00 beta=90.00 gamma=90.00
Element x y z (fractional)
Ti1 0.000 0.500 0.696
Ti2 0.500 0.000 0.304
V1 0.500 0.500 0.000
V2 0.000 0.000 0.000
Ta1 0.500 0.000 0.705
Ta2 0.000 0.500 0.295

* N(E_F): 8.6 states/eV per cell

It is version ii that is most stable; the runner-up trails by 32.0 kJ/mol of atoms.

Version i
# Ta2TiV

A relaxed Ta2TiV crystal (GGA-PBE, Alexandria via LeMat-Bulk).

Unit cell a=3.189 b=3.189 c=6.600 alpha=90.00 beta=90.00 gamma=90.00
Element x y z (fractional)
V1 0.500 0.500 0.000
Ti1 0.500 0.500 0.500
Ta1 0.000 0.000 0.767
Ta2 0.000 0.000 0.233

* N(E_F): 7.2 states/eV per cell

Version ii
# Ta2TiV

A relaxed Ta2TiV crystal (GGA-PBE, Alexandria via LeMat-Bulk).

Unit cell a=2.746 b=4.867 c=5.426 alpha=89.71 beta=90.00 gamma=106.38
Element x y z (fractional)
Ta1 0.235 0.471 0.503
Ta2 0.765 0.529 0.997
Ti1 0.500 0.000 0.250
V1 0.500 0.000 0.750

* N(E_F): 5.5 states/eV per cell

It is version i that is most stable; the runner-up trails by 19.8 kJ/mol of atoms.

Version i
# Ta2TiV

A relaxed Ta2TiV crystal (GGA-PBE, Alexandria via LeMat-Bulk).

Unit cell a=7.153 b=7.153 c=5.759 alpha=51.61 beta=51.61 gamma=90.00
Element x y z (fractional)
Ti1 0.500 0.500 0.000
Ti2 0.250 0.750 0.500
Ta1 0.638 0.125 0.250
Ta2 0.112 0.625 0.250
Ta3 0.375 0.362 0.750
Ta4 0.875 0.888 0.750
V1 0.000 0.000 0.000
V2 0.750 0.250 0.500

* N(E_F): 11.0 states/eV per cell

Version ii
# Ta2TiV

A relaxed Ta2TiV crystal (GGA-PBE, Alexandria via LeMat-Bulk).

Unit cell a=3.206 b=4.562 c=4.562 alpha=90.00 beta=90.00 gamma=90.00
Element x y z (fractional)
V1 0.500 0.500 0.500
Ti1 0.500 0.000 0.000
Ta1 0.000 0.000 0.500
Ta2 0.000 0.500 0.000

* N(E_F): 7.5 states/eV per cell

It is version ii that is most stable; the runner-up trails by 51.5 kJ/mol of atoms.

Version i
# Ta2TiV

A relaxed Ta2TiV crystal (GGA-PBE, Alexandria via LeMat-Bulk).

Unit cell a=2.872 b=2.872 c=10.086 alpha=81.81 beta=81.81 gamma=60.00
Element x y z (fractional)
V1 0.000 0.000 0.000
Ti1 0.500 0.500 0.500
Ta1 0.085 0.085 0.744
Ta2 0.915 0.915 0.256

* N(E_F): 5.9 states/eV per cell

Version ii
# Ta2TiV

A relaxed Ta2TiV crystal (GGA-PBE, Alexandria via LeMat-Bulk).

Unit cell a=4.553 b=4.553 c=4.553 alpha=60.00 beta=60.00 gamma=60.00
Element x y z (fractional)
V1 0.000 0.000 0.000
Ti1 0.500 0.500 0.500
Ta1 0.250 0.250 0.250
Ta2 0.750 0.750 0.750

* N(E_F): 8.7 states/eV per cell

It is version ii that is most stable; the runner-up trails by 36.4 kJ/mol of atoms.

Version i
# TaTi2V2

A relaxed TaTi2V2 crystal (GGA-PBE, Alexandria via LeMat-Bulk).

Unit cell a=7.282 b=7.282 c=3.054 alpha=90.00 beta=90.00 gamma=90.00
Element x y z (fractional)
Ti1 0.358 0.858 0.000
Ti2 0.858 0.642 0.000
Ti3 0.642 0.142 0.000
Ti4 0.142 0.358 0.000
Ta1 0.000 0.000 0.000
Ta2 0.500 0.500 0.000
V1 0.145 0.645 0.500
V2 0.645 0.855 0.500
V3 0.855 0.355 0.500
V4 0.355 0.145 0.500

* N(E_F): 11.5 states/eV per cell

Version ii
# TaTi2V2

A relaxed TaTi2V2 crystal (GGA-PBE, Alexandria via LeMat-Bulk).

Unit cell a=2.630 b=4.650 c=7.070 alpha=109.15 beta=100.72 gamma=90.00
Element x y z (fractional)
Ta1 0.000 0.000 0.000
Ti1 0.394 0.394 0.787
Ti2 0.606 0.606 0.213
V1 0.703 0.203 0.407
V2 0.297 0.797 0.593

* N(E_F): 6.5 states/eV per cell

It is version ii that is most stable; the runner-up trails by 18.2 kJ/mol of atoms.

Version i
# TaTiV3

A relaxed TaTiV3 crystal (GGA-PBE, Alexandria via LeMat-Bulk).

Unit cell a=5.272 b=4.920 c=6.780 alpha=90.00 beta=112.88 gamma=90.00
Element x y z (fractional)
Ta1 0.190 0.250 0.380
Ta2 0.810 0.750 0.620
Ti1 0.572 0.250 0.144
Ti2 0.428 0.750 0.856
V1 0.117 0.250 0.725
V2 0.608 0.250 0.725
V3 0.392 0.750 0.275
V4 0.883 0.750 0.275
V5 0.000 0.000 0.000
V6 0.000 0.500 0.000

* N(E_F): 10.4 states/eV per cell

Version ii
# TaTiV3

A relaxed TaTiV3 crystal (GGA-PBE, Alexandria via LeMat-Bulk).

Unit cell a=4.354 b=4.354 c=4.354 alpha=90.00 beta=90.00 gamma=90.00
Element x y z (fractional)
Ti1 0.000 0.000 0.000
Ta1 0.500 0.500 0.500
V1 0.000 0.500 0.000
V2 0.000 0.000 0.500
V3 0.500 0.000 0.000

* N(E_F): 5.1 states/eV per cell

It is version i that is most stable; the runner-up trails by 78.8 kJ/mol of atoms.